# LaTbErTm (PBE, relaxed)
data_LaTbErTm
_cell_length_a 8.075
_cell_length_b 8.075
_cell_length_c 8.075
_cell_angle_alpha 90.00
_cell_angle_beta 90.00
_cell_angle_gamma 90.00
_symmetry_space_group_name_H-M 'F -4 3 m'
_symmetry_Int_Tables_number 216
_symmetry_space_group_name_Hall 'F -4 2 3'
loop_
_atom_site_label
_atom_site_type_symbol
_atom_site_fract_x
_atom_site_fract_y
_atom_site_fract_z
La1 La 0.000 0.000 0.000
Tb1 Tb 0.000 0.000 0.500
Er1 Er 0.250 0.250 0.250
Tm1 Tm 0.250 0.250 0.750
# Total magnetization   0.00 μB per formula unit
# Distance to the lowest polymorph of the same formula   0.27 eV/f.u.
# Energy of formation   101 meV per atom